## w
An optimized crystal structure of Np2AsP. Source: the Alexandria database, functional PBE-GGA.

Cell lengths 3.9440, 3.9440, 21.0770 Å; angles 90.00, 90.00, 120.00 degrees
Space group R3m (No. 160, hexagonal axes)
Asymmetric unit:
Np 0.0000 0.0000 0.0000 x3
Np 0.0000 0.0000 0.1622 x3
As 0.0000 0.0000 0.5833 x3
P 0.0000 0.0000 0.4127 x3

---

## x
An optimized crystal structure of Np2AsP. Source: the Alexandria database, functional PBE-GGA.

Cell lengths 3.720, 13.824, 6.804 Å; angles 90.00, 90.00, 90.00 degrees
Space group Cmcm (No. 63)
Asymmetric unit:
Np 0.000 0.120 0.028 x8
As 0.000 0.478 0.250 x4
P 0.000 0.266 0.750 x4

---

Energies in meV per atom, measured from the most stable structure: w 0; x 13.

---

## w
An optimized crystal structure of Np2AsP. Source: the Alexandria database, functional PBE-GGA.

Cell lengths 4.0377, 4.0377, 19.7616 Å; angles 90.00, 90.00, 120.00 degrees
Space group R-3m (No. 166, hexagonal axes)
Asymmetric unit:
Np 0.0000 0.0000 0.2465 x6
As 0.0000 0.0000 0.0000 x3
P 0.0000 0.0000 0.5000 x3

---

## x
An optimized crystal structure of Np2AsP. Source: the Alexandria database, functional PBE-GGA.

Cell lengths 5.718, 5.718, 11.420 Å; angles 90.00, 90.00, 90.00 degrees
Space group I4_1/amd (No. 141, origin choice 2)
Asymmetric unit:
Np 0.000 0.250 0.120 x8
As 0.000 0.250 0.375 x4
P 0.000 0.250 0.875 x4

---

## y
An optimized crystal structure of Np2AsP. Source: the Alexandria database, functional PBE-GGA.

Cell lengths 3.432, 3.432, 6.891 Å; angles 90.00, 90.00, 90.00 degrees
Space group P4/mmm (No. 123)
Asymmetric unit:
Np 0.000 0.000 0.239 x2
As 0.500 0.500 0.500 x1
P 0.500 0.500 0.000 x1

---

Energies in meV per atom, measured from the most stable structure: w 0; x 9; y 160.

---

## w
An optimized crystal structure of NpPaAs. Source: the Alexandria database, functional PBE-GGA.

Cell lengths 3.874, 3.874, 8.931 Å; angles 90.00, 90.00, 90.00 degrees
Space group I4mm (No. 107)
Asymmetric unit:
Np 0.000 0.000 0.000 x2
Pa 0.000 0.000 0.294 x2
As 0.000 0.000 0.644 x2

---

## x
An optimized crystal structure of NpPaAs. Source: the Alexandria database, functional PBE-GGA.

Cell lengths 4.9386, 4.9386, 3.0620 Å; angles 90.00, 90.00, 120.00 degrees
Space group P3m1 (No. 156)
Asymmetric unit:
Np 0.0000 0.0000 0.0000 x1
Pa 0.6667 0.3333 0.4546 x1
As 0.3333 0.6667 0.7658 x1

---

Energies in meV per atom, measured from the most stable structure: w 0; x 342.

---

## w
An optimized crystal structure of NpAs2Pd2. Source: the Alexandria database, functional PBE-GGA.

Cell lengths 5.736, 9.994, 13.883 Å; angles 90.00, 90.00, 90.00 degrees
Space group Fddd (No. 70, origin choice 2)
Asymmetric unit:
Np 0.125 0.125 0.125 x8
As 0.125 0.337 0.625 x16
Pd 0.125 0.125 0.525 x16

---

## x
An optimized crystal structure of NpAs2Pd2. Source: the Alexandria database, functional PBE-GGA.

Cell lengths 5.801, 5.811, 11.115 Å; angles 90.00, 90.00, 90.00 degrees
Space group Fmmm (No. 69)
Asymmetric unit:
Np 0.000 0.000 0.000 x4
As 0.000 0.000 0.387 x8
Pd 0.250 0.250 0.250 x8

---

Energies in meV per atom, measured from the most stable structure: w 115; x 0.

---

## w
An optimized crystal structure of PmNpAs2. Source: the Alexandria database, functional PBE-GGA.

Cell lengths 7.175, 7.175, 7.175 Å; angles 90.00, 90.00, 90.00 degrees
Space group Fm-3m (No. 225)
Asymmetric unit:
Pm 0.000 0.000 0.000 x4
Np 0.000 0.000 0.500 x4
As 0.250 0.250 0.250 x8

---

## x
An optimized crystal structure of PmNpAs2. Source: the Alexandria database, functional PBE-GGA.

Cell lengths 4.1601, 4.1601, 20.5245 Å; angles 90.00, 90.00, 120.00 degrees
Space group R-3m (No. 166, hexagonal axes)
Asymmetric unit:
Pm 0.0000 0.0000 0.0000 x3
Np 0.0000 0.0000 0.5000 x3
As 0.0000 0.0000 0.2463 x6

---

## y
An optimized crystal structure of PmNpAs2. Source: the Alexandria database, functional PBE-GGA.

Cell lengths 4.1249, 4.1249, 21.3169 Å; angles 90.00, 90.00, 120.00 degrees
Space group R3m (No. 160, hexagonal axes)
Asymmetric unit:
Pm 0.0000 0.0000 0.0000 x3
Np 0.0000 0.0000 0.8283 x3
As 0.0000 0.0000 0.2427 x3
As 0.0000 0.0000 0.4184 x3

---

## z
An optimized crystal structure of PmNpAs2. Source: the Alexandria database, functional PBE-GGA.

Cell lengths 3.570, 3.570, 7.198 Å; angles 90.00, 90.00, 90.00 degrees
Space group P4/mmm (No. 123)
Asymmetric unit:
Pm 0.000 0.000 0.000 x1
Np 0.000 0.000 0.500 x1
As 0.500 0.500 0.261 x2

---

Energies in meV per atom, measured from the most stable structure: w 363; x 0; y 144; z 325.

---

## w
An optimized crystal structure of PrNpAs2. Source: the Alexandria database, functional PBE-GGA.

Cell lengths 4.1520, 4.1520, 21.5229 Å; angles 90.00, 90.00, 120.00 degrees
Space group R3m (No. 160, hexagonal axes)
Asymmetric unit:
Pr 0.0000 0.0000 0.0000 x3
Np 0.0000 0.0000 0.1717 x3
As 0.0000 0.0000 0.5802 x3
As 0.0000 0.0000 0.7589 x3

---

## x
An optimized crystal structure of PrNpAs2. Source: the Alexandria database, functional PBE-GGA.

Cell lengths 4.1937, 4.1937, 20.7027 Å; angles 90.00, 90.00, 120.00 degrees
Space group R-3m (No. 166, hexagonal axes)
Asymmetric unit:
Pr 0.0000 0.0000 0.0000 x3
Np 0.0000 0.0000 0.5000 x3
As 0.0000 0.0000 0.2447 x6

---

Energies in meV per atom, measured from the most stable structure: w 138; x 0.